! KTe2Se4 GGA-PBE relaxed; values from VASP
! E_form (uncorrected) (eV per atom): 0.119
! Fermi-level density of states (states/eV/f.u.): 2.7
! Distance to the lowest polymorph of the same formula (eV/atom): 0.375
! Crystal system: tetragonal
&SYSTEM
  ibrav = 0, nat = 7, ntyp = 3
/
ATOMIC_SPECIES
K 39.10 K.upf
Te 127.60 Te.upf
Se 78.96 Se.upf
CELL_PARAMETERS angstrom
5.912 0.000 0.000
0.000 5.912 0.000
2.956 2.956 8.824
ATOMIC_POSITIONS crystal
K 0.000 0.000 0.000
Te 0.586 0.586 0.828
Te 0.414 0.414 0.172
Se 0.721 0.721 0.558
Se 0.279 0.279 0.442
Se 0.000 0.500 0.000
Se 0.500 0.000 0.000